Entry 1:
! AcPuPaGa | the Alexandria database | PBE-GGA | optimized geometry; values from VASP
&SYSTEM
  ibrav = 0, nat = 4, ntyp = 4
/
ATOMIC_SPECIES
Ac 227.00 Ac.upf
Pa 231.04 Pa.upf
Ga 69.72 Ga.upf
Pu 244.00 Pu.upf
ATOMIC_POSITIONS crystal
Ac 0.0000 0.0000 0.0000
Pa 0.7500 0.7500 0.7500
Ga 0.2500 0.2500 0.2500
Pu 0.5000 0.5000 0.5000
CELL_PARAMETERS angstrom
5.3306 0.0000 0.0000
2.6653 4.6165 0.0000
2.6653 1.5388 4.3525
! VASP energy = -7.493 eV/atom

Entry 2:
! Si3Cl | the Alexandria database | PBE-GGA | optimized geometry; values from VASP
&SYSTEM
  ibrav = 0, nat = 4, ntyp = 2
/
ATOMIC_SPECIES
Si 28.09 Si.upf
Cl 35.45 Cl.upf
ATOMIC_POSITIONS crystal
Si 0.2075 0.2075 0.0000
Cl 0.5000 0.0000 0.5000
Si 0.0000 0.5000 0.5000
Si 0.7925 0.7925 0.0000
CELL_PARAMETERS angstrom
-2.6954 3.4309 -3.8334
-2.3080 -1.8336 -5.0042
0.2652 -0.1655 5.7994
! ΔE to the lowest computed polymorph = 278 meV per atom
! ΔE_f (raw) = 0.4296 eV per atom

Entry 3:
! Fe2BiPd | the Alexandria database | PBE-GGA | optimized geometry; values from VASP
&SYSTEM
  ibrav = 0, nat = 8, ntyp = 3
/
ATOMIC_SPECIES
Fe 55.84 Fe.upf
Bi 208.98 Bi.upf
Pd 106.42 Pd.upf
ATOMIC_POSITIONS crystal
Fe 0.1534 0.6250 0.2500
Bi 0.7500 0.2500 0.5000
Fe 0.3750 0.4034 0.7500
Pd 0.5000 0.5000 0.0000
Bi 0.0000 0.0000 0.0000
Fe 0.5966 0.1250 0.2500
Pd 0.2500 0.7500 0.5000
Fe 0.8750 0.8466 0.7500
CELL_PARAMETERS angstrom
3.8885 0.0000 0.0000
0.0000 3.8885 0.0000
1.9443 1.9443 9.5830
! VASP energy = -6.000 eV/atom

Entry 4:
! Ba2MnGeN | the Alexandria database | PBE-GGA | optimized geometry; values from VASP
&SYSTEM
  ibrav = 0, nat = 5, ntyp = 4
/
ATOMIC_SPECIES
N 14.01 N.upf
Ba 137.33 Ba.upf
Ge 72.64 Ge.upf
Mn 54.94 Mn.upf
ATOMIC_POSITIONS crystal
N 0.0000 0.5000 0.0000
Ba 0.5000 0.0000 0.0000
Ge 0.5000 0.5000 0.5000
Ba 0.0000 0.0000 0.5000
Mn 0.0000 0.0000 0.0000
CELL_PARAMETERS angstrom
5.9830 0.0000 0.0000
0.0000 3.5712 0.0000
0.0000 0.0000 5.9830
! ΔE_f (raw) = 0.0240 eV per atom

Entry 5:
! MnCd5 | the Alexandria database | PBE-GGA | optimized geometry; values from VASP
&SYSTEM
  ibrav = 0, nat = 6, ntyp = 2
/
ATOMIC_SPECIES
Cd 112.41 Cd.upf
Mn 54.94 Mn.upf
ATOMIC_POSITIONS crystal
Cd 0.7500 0.7500 0.7500
Cd 0.3746 0.3746 0.8763
Cd 0.3746 0.8763 0.3746
Cd 0.8763 0.3746 0.3746
Mn 0.0000 0.0000 0.0000
Cd 0.3746 0.3746 0.3746
CELL_PARAMETERS angstrom
0.0000 4.0407 4.0407
4.0407 0.0000 4.0407
4.0407 4.0407 0.0000
! ΔE to the lowest computed polymorph = 178 meV per atom

Entry 6:
! ZrTeP2 | the Alexandria database | PBE-GGA | optimized geometry; values from VASP
&SYSTEM
  ibrav = 0, nat = 4, ntyp = 3
/
ATOMIC_SPECIES
Te 127.60 Te.upf
P 30.97 P.upf
Zr 91.22 Zr.upf
ATOMIC_POSITIONS crystal
Te 0.5000 0.0000 0.5000
P 0.0000 0.0000 0.0000
Zr 0.0000 0.5000 0.5000
P 0.5000 0.5000 0.0000
CELL_PARAMETERS angstrom
-3.6497 1.6659 2.4625
-2.3031 -2.2153 -3.4565
-0.0483 -2.9183 1.9026
! ΔE to the lowest computed polymorph = 521 meV per atom
! ΔE_f (raw) = -0.0663 eV per atom

Entry 7:
! CrFe2S4 | the Alexandria database | PBE-GGA | optimized geometry; values from VASP
&SYSTEM
  ibrav = 0, nat = 7, ntyp = 3
/
ATOMIC_SPECIES
S 32.06 S.upf
Cr 52.00 Cr.upf
Fe 55.84 Fe.upf
ATOMIC_POSITIONS crystal
S 0.0000 0.5000 0.0000
S 0.2048 0.2048 0.5904
S 0.7952 0.7952 0.4096
S 0.5000 0.0000 0.0000
Cr 0.0000 0.0000 0.0000
Fe 0.6047 0.6047 0.7906
Fe 0.3953 0.3953 0.2094
CELL_PARAMETERS angstrom
4.7119 0.0000 0.0000
0.0000 4.7119 0.0000
2.3559 2.3559 5.6401
! ΔE_f (raw) = 0.1553 eV per atom

Entry 8:
! BaPPd2 | the Alexandria database | PBE-GGA | optimized geometry; values from VASP
&SYSTEM
  ibrav = 0, nat = 8, ntyp = 3
/
ATOMIC_SPECIES
P 30.97 P.upf
Ba 137.33 Ba.upf
Pd 106.42 Pd.upf
ATOMIC_POSITIONS crystal
P 0.5000 0.4290 0.8579
Ba 0.0000 0.8562 0.7124
Pd 0.5000 0.7032 0.4064
Pd 0.0000 0.5000 0.0000
Ba 0.0000 0.1438 0.2876
Pd 0.5000 0.2968 0.5936
Pd 0.5000 0.0000 0.0000
P 0.5000 0.5710 0.1421
CELL_PARAMETERS angstrom
-3.3179 -2.9078 -0.1081
1.3761 -1.7092 3.7363
-5.9579 6.6961 2.7449
! VASP energy = -5.179 eV/atom

Entry 9:
! TaRe2I | the Alexandria database | PBE-GGA | optimized geometry; values from VASP
&SYSTEM
  ibrav = 0, nat = 8, ntyp = 3
/
ATOMIC_SPECIES
Ta 180.95 Ta.upf
I 126.90 I.upf
Re 186.21 Re.upf
ATOMIC_POSITIONS crystal
Ta 0.0000 0.0000 0.0000
I 0.5000 0.5000 0.0000
Ta 0.7500 0.2500 0.5000
Re 0.8750 0.9417 0.7500
Re 0.3750 0.3083 0.7500
Re 0.6917 0.1250 0.2500
I 0.2500 0.7500 0.5000
Re 0.0583 0.6250 0.2500
CELL_PARAMETERS angstrom
3.9822 0.0000 0.0000
0.0000 3.9822 0.0000
1.9911 1.9911 10.0626
! ΔE to the lowest computed polymorph = 352 meV per atom
! ΔE_f (raw) = 1.3572 eV per atom

Entry 10:
! YIn3 | the Alexandria database | PBE-GGA | optimized geometry; values from VASP
&SYSTEM
  ibrav = 0, nat = 8, ntyp = 2
/
ATOMIC_SPECIES
Y 88.91 Y.upf
In 114.82 In.upf
ATOMIC_POSITIONS crystal
Y 0.5000 0.5000 0.5000
In 0.2500 0.5000 0.0000
In 0.0000 0.7500 0.5000
Y 0.0000 0.0000 0.0000
In 0.7500 0.5000 0.0000
In 0.5000 0.0000 0.7500
In 0.0000 0.2500 0.5000
In 0.5000 0.0000 0.2500
CELL_PARAMETERS angstrom
-2.1619 -3.0843 -4.6415
4.7304 1.6162 -3.2773
2.9461 -4.8585 1.8563
! VASP energy = -3.864 eV/atom

Entry 11:
! HoNi4Sb | the Alexandria database | PBE-GGA | optimized geometry; values from VASP
&SYSTEM
  ibrav = 0, nat = 12, ntyp = 3
/
ATOMIC_SPECIES
Sb 121.76 Sb.upf
Ni 58.69 Ni.upf
Ho 164.93 Ho.upf
ATOMIC_POSITIONS crystal
Sb 0.2299 0.7500 0.4598
Ni 0.9253 0.2500 0.8506
Ni 0.0747 0.7500 0.1494
Sb 0.7701 0.2500 0.5402
Ni 0.5000 0.0000 0.0000
Ho 0.9142 0.7500 0.8284
Ho 0.0858 0.2500 0.1716
Ni 0.6518 0.5373 0.3035
Ni 0.3482 0.4627 0.6965
Ni 0.3482 0.0373 0.6965
Ni 0.6518 0.9627 0.3035
Ni 0.5000 0.5000 0.0000
CELL_PARAMETERS angstrom
-1.4049 1.1737 3.4745
0.1858 -5.2400 1.8452
8.5511 0.6606 1.0151
! ΔE to the lowest computed polymorph = 47 meV per atom
! ΔE_f (raw) = -0.3034 eV per atom

Entry 12:
! Mg2Si | the Alexandria database | PBE-GGA | optimized geometry; values from VASP
&SYSTEM
  ibrav = 0, nat = 3, ntyp = 2
/
ATOMIC_SPECIES
Mg 24.30 Mg.upf
Si 28.09 Si.upf
ATOMIC_POSITIONS crystal
Mg 0.7500 0.7500 0.7500
Mg 0.2500 0.2500 0.2500
Si 0.0000 0.0000 0.0000
CELL_PARAMETERS angstrom
-0.7499 2.3207 3.7800
-4.1903 1.2077 1.1040
-2.0666 -1.9700 3.4762
! ΔE_f (raw) = -0.1570 eV per atom

Entry 13:
! CaVH | the Alexandria database | PBE-GGA | optimized geometry; values from VASP
&SYSTEM
  ibrav = 0, nat = 6, ntyp = 3
/
ATOMIC_SPECIES
H 1.01 H.upf
V 50.94 V.upf
Ca 40.08 Ca.upf
ATOMIC_POSITIONS crystal
H 0.1908 0.1093 0.3064
H 0.8092 0.8907 0.6936
V 0.1813 0.0805 0.0114
Ca 0.3770 0.6885 0.6691
V 0.8187 0.9195 0.9886
Ca 0.6230 0.3115 0.3309
CELL_PARAMETERS angstrom
4.0293 -0.0084 0.0095
1.5106 5.0184 0.0044
-0.6897 2.5370 5.2411
! ΔE to the lowest computed polymorph = 233 meV per atom

Entry 14:
! OsPtSe2N | the Alexandria database | PBE-GGA | optimized geometry; values from VASP
&SYSTEM
  ibrav = 0, nat = 5, ntyp = 4
/
ATOMIC_SPECIES
Se 78.96 Se.upf
Pt 195.08 Pt.upf
Os 190.23 Os.upf
N 14.01 N.upf
ATOMIC_POSITIONS crystal
Se 0.5000 0.0000 0.0000
Pt 0.0000 0.0000 0.0000
Os 0.5000 0.5000 0.5000
Se 0.0000 0.5000 0.0000
N 0.0000 0.0000 0.5000
CELL_PARAMETERS angstrom
5.0863 0.0000 0.0000
0.0000 5.0863 0.0000
0.0000 0.0000 3.5809
! ΔE to the lowest computed polymorph = 689 meV per atom
! ΔE_f (raw) = 1.3745 eV per atom

Entry 15:
! OsAu3Cl | the Alexandria database | PBE-GGA | optimized geometry; values from VASP
&SYSTEM
  ibrav = 0, nat = 5, ntyp = 3
/
ATOMIC_SPECIES
Au 196.97 Au.upf
Cl 35.45 Cl.upf
Os 190.23 Os.upf
ATOMIC_POSITIONS crystal
Au 0.0000 0.5000 0.0000
Cl 0.0000 0.0000 0.0000
Os 0.5000 0.5000 0.5000
Au 0.5000 0.0000 0.0000
Au 0.0000 0.0000 0.5000
CELL_PARAMETERS angstrom
4.7841 0.0000 0.0000
0.0000 4.7841 0.0000
0.0000 0.0000 4.7841
! ΔE to the lowest computed polymorph = 569 meV per atom
! ΔE_f (raw) = 1.8380 eV per atom

Entry 16:
! KZrSc2 | the Alexandria database | PBE-GGA | optimized geometry; values from VASP
&SYSTEM
  ibrav = 0, nat = 4, ntyp = 3
/
ATOMIC_SPECIES
Zr 91.22 Zr.upf
Sc 44.96 Sc.upf
K 39.10 K.upf
ATOMIC_POSITIONS crystal
Zr 0.0000 0.0000 0.4454
Sc 0.5000 0.5000 0.2584
K 0.5000 0.5000 0.7438
Sc 0.0000 0.0000 0.0523
CELL_PARAMETERS angstrom
3.2361 0.1665 0.0000
-0.2408 3.2314 0.0000
0.0000 0.0000 11.3298
! ΔE to the lowest computed polymorph = 79 meV per atom

Entry 17:
! Sr6Sm | the Alexandria database | PBE-GGA | optimized geometry; values from VASP
&SYSTEM
  ibrav = 0, nat = 7, ntyp = 2
/
ATOMIC_SPECIES
Sr 87.62 Sr.upf
Sm 150.36 Sm.upf
ATOMIC_POSITIONS crystal
Sr 0.2500 0.7500 0.5000
Sr 0.5000 0.2500 0.7500
Sr 0.5000 0.7500 0.2500
Sr 0.2500 0.5000 0.7500
Sm 0.0000 0.0000 0.0000
Sr 0.7500 0.5000 0.2500
Sr 0.7500 0.2500 0.5000
CELL_PARAMETERS angstrom
-7.3813 3.8350 -0.9716
-1.0394 -6.9377 4.5742
5.3273 5.1472 3.9065
! VASP energy = -0.847 eV/atom

Entry 18:
! CdSnPt | the Alexandria database | PBE-GGA | optimized geometry; values from VASP
&SYSTEM
  ibrav = 0, nat = 3, ntyp = 3
/
ATOMIC_SPECIES
Cd 112.41 Cd.upf
Pt 195.08 Pt.upf
Sn 118.71 Sn.upf
ATOMIC_POSITIONS crystal
Cd 0.2869 0.2869 0.5739
Pt 0.9597 0.9597 0.9194
Sn 0.6034 0.6034 0.2067
CELL_PARAMETERS angstrom
-3.6346 -0.4169 0.5236
0.2386 -3.5082 -1.1373
2.4453 0.6662 4.4625
! VASP energy = -3.853 eV/atom

Entry 19:
! NbIBrN2 | the Alexandria database | PBE-GGA | optimized geometry; values from VASP
&SYSTEM
  ibrav = 0, nat = 5, ntyp = 4
/
ATOMIC_SPECIES
Br 79.90 Br.upf
N 14.01 N.upf
Nb 92.91 Nb.upf
I 126.90 I.upf
ATOMIC_POSITIONS crystal
Br 0.0000 0.0000 0.0000
N 0.0000 0.5000 0.0000
Nb 0.5000 0.5000 0.5000
N 0.5000 0.0000 0.0000
I 0.0000 0.0000 0.5000
CELL_PARAMETERS angstrom
-1.8413 -3.1357 1.7038
2.7302 -2.4724 -1.5998
3.3793 0.6246 4.8015
! ΔE to the lowest computed polymorph = 1849 meV per atom
! ΔE_f (raw) = 2.4092 eV per atom

Entry 20:
! InHgB | the Alexandria database | PBE-GGA | optimized geometry; values from VASP
&SYSTEM
  ibrav = 0, nat = 6, ntyp = 3
/
ATOMIC_SPECIES
Hg 200.59 Hg.upf
B 10.81 B.upf
In 114.82 In.upf
ATOMIC_POSITIONS crystal
Hg 0.9433 0.8847 0.0252
B 0.6724 0.2712 0.8739
In 0.1901 0.3861 0.0467
B 0.2713 0.3401 0.6713
Hg 0.0007 0.7266 0.5204
In 0.7534 0.2252 0.4985
CELL_PARAMETERS angstrom
-1.9733 0.5018 -3.5753
-2.0318 -5.4381 -1.9844
-3.9610 -0.0746 5.1182
! VASP energy = -2.762 eV/atom

Number 1: magnetization 7.67 μB per cell. Number 2: magnetization 0.00 μB per cell. Number 3: magnetization 10.85 μB per cell. Number 4: magnetization 2.75 μB per cell. Number 5: magnetization 4.06 μB per cell. Number 6: magnetization 0.00 μB per cell. Number 7: magnetization 9.46 μB per cell. Number 8: magnetization 0.00 μB per cell. Number 9: magnetization 0.00 μB per cell. Number 10: magnetization 0.00 μB per cell. Number 11: magnetization 0.00 μB per cell. Number 12: magnetization 0.00 μB per cell. Number 13: magnetization 0.00 μB per cell. Number 14: magnetization 0.00 μB per cell. Number 15: magnetization 2.36 μB per cell. Number 16: magnetization 1.16 μB per cell. Number 17: magnetization 0.61 μB per cell. Number 18: magnetization 0.00 μB per cell. Number 19: magnetization 0.00 μB per cell. Number 20: magnetization 0.00 μB per cell.